An optimized crystal structure of ReWN3, computed with GGA-PBE.

The structure in POSCAR format:
```
ReWN3
1.0
3.890 -0.001 -0.001
-1.676 7.873 0.010
-0.168 -2.719 8.099
Re N W
4 12 4
direct
0.136 0.876 0.876 Re
0.710 0.556 0.699 Re
0.290 0.444 0.301 Re
0.864 0.124 0.124 Re
0.192 0.676 0.279 N
0.383 0.345 0.509 N
0.797 0.676 0.952 N
0.696 0.988 0.879 N
0.250 0.653 0.728 N
0.817 0.011 0.330 N
0.617 0.655 0.491 N
0.203 0.324 0.048 N
0.750 0.347 0.272 N
0.808 0.324 0.721 N
0.183 0.989 0.670 N
0.304 0.012 0.121 N
0.863 0.254 0.461 W
0.014 0.192 0.830 W
0.986 0.808 0.170 W
0.137 0.746 0.539 W
```

Results
* crystal system: triclinic
* total energy: -9.94 eV per atom
* Fermi-level density of states: 5.2 states/eV/cell
* energy relative to the elements, uncorrected: 0.140 eV per atom